Entry a
AlVCr4 after structural relaxation. Source: the Alexandria database, functional GGA-PBE.

a b c (Å): 2.9310 2.9298 10.5604
angles (deg): 90.00 123.72 90.00
Fractional coordinates of all 6 atoms:
Al (0.5013, 0.4973, 0.9981)
V (0.0013, 0.9973, 0.4981)
Cr (0.3659, 0.9973, 0.1806)
Cr (0.6367, 0.9973, 0.8157)
Cr (0.8419, 0.4973, 0.6685)
Cr (0.1606, 0.4973, 0.3277)

## Properties
**SG**: P4/mmm, No. 123

Entry b
AlVCr4 after structural relaxation. Source: the Alexandria database, functional GGA-PBE.

a b c (Å): 4.7564 4.7564 4.7564
angles (deg): 60.00 60.00 60.00
Fractional coordinates of all 6 atoms:
Cr (0.6259, 0.6259, 0.1224)
Cr (0.6259, 0.1224, 0.6259)
Cr (0.6259, 0.6259, 0.6259)
Cr (0.1224, 0.6259, 0.6259)
Al (0.0000, 0.0000, 0.0000)
V (0.2500, 0.2500, 0.2500)

## Properties
**SG**: F-43m, No. 216

Which of them is the most stable? Correct choice: entry a.

Entry a
AlV12Cr6 after structural relaxation. Source: the Alexandria database, functional GGA-PBE.

a b c (Å): 6.3368 6.3368 6.3368
angles (deg): 89.41 89.41 89.41
Fractional coordinates of all 19 atoms:
Al (0.0000, 0.0000, 0.0000)
V (0.8133, 0.5209, 0.4126)
V (0.4126, 0.8133, 0.5209)
V (0.5209, 0.4126, 0.8133)
V (0.1867, 0.4791, 0.5874)
V (0.5874, 0.1867, 0.4791)
V (0.4791, 0.5874, 0.1867)
V (0.0554, 0.1467, 0.3806)
V (0.8533, 0.6194, 0.9446)
V (0.6194, 0.9446, 0.8533)
V (0.9446, 0.8533, 0.6194)
V (0.1467, 0.3806, 0.0554)
V (0.3806, 0.0554, 0.1467)
Cr (0.7379, 0.8820, 0.2646)
Cr (0.7354, 0.2621, 0.1180)
Cr (0.1180, 0.7354, 0.2621)
Cr (0.2621, 0.1180, 0.7354)
Cr (0.2646, 0.7379, 0.8820)
Cr (0.8820, 0.2646, 0.7379)

## Properties
**SG**: R-3, No. 148

Entry b
AlV12Cr6 after structural relaxation. Source: the Alexandria database, functional GGA-PBE.

a b c (Å): 6.7867 6.7867 6.7867
angles (deg): 104.39 104.39 104.39
Fractional coordinates of all 19 atoms:
Al (0.0000, 0.0000, 0.0000)
V (0.8781, 0.1219, 0.5000)
V (0.3941, 0.1313, 0.3941)
V (0.3941, 0.3941, 0.1313)
V (0.8687, 0.6059, 0.6059)
V (0.6059, 0.6059, 0.8687)
V (0.6059, 0.8687, 0.6059)
V (0.5000, 0.8781, 0.1219)
V (0.1219, 0.5000, 0.8781)
V (0.1219, 0.8781, 0.5000)
V (0.5000, 0.1219, 0.8781)
V (0.8781, 0.5000, 0.1219)
V (0.1313, 0.3941, 0.3941)
Cr (0.7108, 0.3133, 0.7108)
Cr (0.7108, 0.7108, 0.3133)
Cr (0.3133, 0.7108, 0.7108)
Cr (0.2892, 0.2892, 0.6867)
Cr (0.2892, 0.6867, 0.2892)
Cr (0.6867, 0.2892, 0.2892)

## Properties
**SG**: R-3m, No. 166

Which of them is the most stable? Correct choice: entry a.

Entry a
Al2CrW after structural relaxation. Source: the Alexandria database, functional GGA-PBE.

a b c (Å): 2.6723 2.6723 8.2945
angles (deg): 90.00 90.00 104.41
Fractional coordinates of all 4 atoms:
Cr (0.5000, 0.5000, 0.2500)
Al (0.0000, 0.0000, 0.0135)
Al (0.0000, 0.0000, 0.4865)
W (0.5000, 0.5000, 0.7500)

## Properties
**SG**: Cmmm, No. 65

Entry b
Al2CrW after structural relaxation. Source: the Alexandria database, functional GGA-PBE.

a b c (Å): 4.8240 4.8240 2.7477
angles (deg): 90.00 90.00 112.55
Fractional coordinates of all 4 atoms:
Cr (0.5000, 0.0000, 0.5000)
Al (0.0000, 0.0000, 0.0000)
Al (0.5000, 0.5000, 0.0000)
W (0.0000, 0.5000, 0.5000)

## Properties
**SG**: Cmmm, No. 65

Which of them is the most stable? Correct choice: entry a.

Entry a
AlCrW after structural relaxation. Source: the Alexandria database, functional GGA-PBE.

a b c (Å): 3.1345 5.9775 9.0517
angles (deg): 90.00 90.00 90.00
Fractional coordinates of all 12 atoms:
W (0.7500, 0.3768, 0.9072)
W (0.2500, 0.1232, 0.4072)
W (0.2500, 0.6232, 0.0928)
W (0.7500, 0.8768, 0.5928)
Al (0.7500, 0.3703, 0.5921)
Al (0.2500, 0.1297, 0.0921)
Al (0.2500, 0.6297, 0.4079)
Al (0.7500, 0.8703, 0.9079)
Cr (0.7500, 0.3724, 0.2552)
Cr (0.2500, 0.1276, 0.7552)
Cr (0.2500, 0.6276, 0.7448)
Cr (0.7500, 0.8724, 0.2448)

## Properties
**SG**: Pnma, No. 62

Entry b
AlCrW after structural relaxation. Source: the Alexandria database, functional GGA-PBE.

a b c (Å): 2.9283 3.9630 4.2998
angles (deg): 90.00 90.00 90.00
Fractional coordinates of all 3 atoms:
Al (0.5000, 0.0000, 0.5000)
Cr (0.0000, 0.0000, 0.0000)
W (0.5000, 0.5000, 0.0000)

## Properties
**SG**: Pmmm, No. 47

Which of them is the most stable? Correct choice: entry a.